Entry 1:
{
  "formula": "Ce2PmTe2N2",
  "functional": "PBE",
  "state": "optimized geometry",
  "raw_formation_energy_ev_per_atom": -1.53,
  "m_tot_mub_per_fu": 1.01,
  "energy_ev_per_cell": -50.23,
  "spacegroup": "No. 12",
  "cell": [[6.443, -2.031, 0.000], [6.443, 2.031, 0.000], [-4.312, 0.000, 6.543]],
  "species": ["Ce", "Ce", "Pm", "Te", "Te", "N", "N"],
  "fractional_positions": [[0.195, 0.195, 0.279], [0.805, 0.805, 0.721], [0.000, 0.000, 0.500], [0.427, 0.427, 0.149], [0.573, 0.573, 0.851], [0.208, 0.208, 0.578], [0.792, 0.792, 0.422]]
}

Entry 2:
{
  "formula": "Ac2ZnS",
  "functional": "PBE",
  "state": "optimized geometry",
  "raw_formation_energy_ev_per_atom": -1.02,
  "relative_energy_ev_per_atom": 0.000,
  "m_tot_mub_per_fu": 0.00,
  "energy_ev_per_cell": -17.70,
  "spacegroup": "No. 166",
  "cell": [[2.181, 1.259, 7.665], [-2.181, 1.259, 7.665], [0.000, -2.519, 7.665]],
  "species": ["Ac", "Ac", "Zn", "S"],
  "fractional_positions": [[0.244, 0.244, 0.244], [0.756, 0.756, 0.756], [0.000, 0.000, 0.000], [0.500, 0.500, 0.500]]
}

Entry 3:
{
  "formula": "FeCoCBr",
  "functional": "PBE",
  "state": "optimized geometry",
  "raw_formation_energy_ev_per_atom": 0.41,
  "relative_energy_ev_per_atom": 0.125,
  "m_tot_mub_per_fu": 1.90,
  "energy_ev_per_cell": -24.81,
  "spacegroup": "No. 6",
  "cell": [[3.230, 0.000, 0.000], [0.000, 3.393, 0.000], [-0.310, 0.000, 5.321]],
  "species": ["Fe", "Co", "C", "Br"],
  "fractional_positions": [[0.000, 0.000, 0.000], [0.601, 0.500, 0.709], [0.125, 0.500, 0.875], [0.536, 0.000, 0.371]]
}

Entry 4:
{
  "formula": "K2U2CdTe6",
  "functional": "PBE",
  "state": "optimized geometry",
  "raw_formation_energy_ev_per_atom": -0.72,
  "m_tot_mub_per_fu": 4.00,
  "energy_ev_per_cell": -52.51,
  "spacegroup": "No. 12",
  "cell": [[3.792, -6.662, 0.000], [3.792, 6.662, 0.000], [-2.490, 0.000, 8.483]],
  "species": ["K", "K", "U", "U", "Cd", "Te", "Te", "Te", "Te", "Te", "Te"],
  "fractional_positions": [[0.164, 0.836, 0.000], [0.836, 0.164, 0.000], [0.333, 0.667, 0.500], [0.667, 0.333, 0.500], [0.000, 0.000, 0.500], [0.068, 0.407, 0.706], [0.270, 0.270, 0.296], [0.407, 0.068, 0.706], [0.593, 0.932, 0.294], [0.730, 0.730, 0.704], [0.932, 0.593, 0.294]]
}

Entry 5:
{
  "formula": "Ba5Ta",
  "functional": "PBE",
  "state": "optimized geometry",
  "relative_energy_ev_per_atom": 0.580,
  "m_tot_mub_per_fu": 3.78,
  "energy_ev_per_cell": -14.54,
  "spacegroup": "No. 191",
  "cell": [[7.170, 0.000, 0.000], [-3.585, 6.209, 0.000], [0.000, 0.000, 7.077]],
  "species": ["Ba", "Ba", "Ba", "Ba", "Ba", "Ta"],
  "fractional_positions": [[0.000, 0.500, 0.000], [0.333, 0.667, 0.500], [0.500, 0.000, 0.000], [0.500, 0.500, 0.000], [0.667, 0.333, 0.500], [0.000, 0.000, 0.500]]
}

Entry 6:
{
  "formula": "GaH4",
  "functional": "PBE",
  "state": "optimized geometry",
  "relative_energy_ev_per_atom": 0.000,
  "m_tot_mub_per_fu": 0.00,
  "energy_ev_per_cell": -31.71,
  "spacegroup": "No. 12",
  "cell": [[2.912, -4.481, 0.000], [2.912, 4.481, 0.000], [-0.487, 0.000, 4.621]],
  "species": ["Ga", "Ga", "H", "H", "H", "H", "H", "H", "H", "H"],
  "fractional_positions": [[0.144, 0.856, 0.000], [0.856, 0.144, 0.000], [0.069, 0.639, 0.738], [0.164, 0.164, 0.869], [0.361, 0.931, 0.262], [0.452, 0.452, 0.547], [0.548, 0.548, 0.453], [0.639, 0.069, 0.738], [0.836, 0.836, 0.131], [0.931, 0.361, 0.262]]
}

Entry 7:
{
  "formula": "Ca4GaCu3",
  "functional": "PBE",
  "state": "optimized geometry",
  "m_tot_mub_per_fu": 0.00,
  "energy_ev_per_cell": -25.06,
  "spacegroup": "No. 25",
  "cell": [[4.204, 0.000, 0.000], [0.000, 4.310, 0.000], [0.000, 0.000, 10.911]],
  "species": ["Ca", "Ca", "Ca", "Ca", "Ga", "Cu", "Cu", "Cu"],
  "fractional_positions": [[0.000, 0.000, 0.000], [0.000, 0.500, 0.280], [0.500, 0.000, 0.491], [0.500, 0.500, 0.784], [0.000, 0.000, 0.698], [0.000, 0.500, 0.580], [0.500, 0.000, 0.199], [0.500, 0.500, 0.082]]
}

Entry 8:
{
  "formula": "Rb2LiUTe4",
  "functional": "PBE",
  "state": "optimized geometry",
  "raw_formation_energy_ev_per_atom": -0.85,
  "m_tot_mub_per_fu": 0.98,
  "energy_ev_per_cell": -34.48,
  "spacegroup": "No. 10",
  "cell": [[7.741, 0.000, 0.000], [0.000, 4.581, 0.000], [-2.615, 0.000, 8.390]],
  "species": ["Rb", "Rb", "Li", "U", "Te", "Te", "Te", "Te"],
  "fractional_positions": [[0.000, 0.000, 0.000], [0.500, 0.500, 0.000], [0.000, 0.500, 0.500], [0.500, 0.000, 0.500], [0.245, 0.000, 0.688], [0.277, 0.500, 0.307], [0.723, 0.500, 0.693], [0.755, 0.000, 0.312]]
}